w:
A plane-wave DFT calculation with PBE was carried out for a geometry-optimized Mg4ZnSe8 structure.

For the volume, the calculation gives 23.05 Å³ per atom. For the density of states at the Fermi level, the calculation gives 0.2812 states/eV per atom.

It has space group I4/mmm (No. 139), with a = 8.9342 Å, b = 8.9342 Å, c = 7.5068 Å, α = 90.00°, β = 90.00° and γ = 90.00°. The distinct sites, in fractional coordinates, are Mg at (0.2500, 0.2500, 0.2500), Zn at (0.0000, 0.0000, 0.0000), Se at (0.0000, 0.2131, 0.5000) and Se at (0.0000, 0.2821, 0.0000).



x:
A plane-wave DFT calculation with PBE was carried out for a geometry-optimized Mg4ZnSe8 structure.

For the volume, the calculation gives 29.53 Å³ per atom. For the density of states at the Fermi level, the calculation gives 0.1754 states/eV per atom.

It has space group I4/m (No. 87), with a = 13.7044 Å, b = 13.7044 Å, c = 4.0881 Å, α = 90.00°, β = 90.00° and γ = 90.00°. The distinct sites, in fractional coordinates, are Mg at (0.0824, 0.3276, 0.0000), Zn at (0.0000, 0.0000, 0.5000), Se at (0.0263, 0.7021, 0.5000) and Se at (0.1933, 0.7617, 0.0000).



Short version: w is the least stable of them.